No. 1
A geometry-optimized In2AgPt structure, computed with PBE.

D(E_F) (states/eV/atom): 0.41
Formation enthalpy at 0 K (eV/atom): -0.143
Uncorrected energy (eV/atom): -3.735
Total magnetic moment (μB/atom): 0.00
E above lowest polymorph (meV/atom): 64

Structure (CIF):
```
data_In2AgPt
_cell_length_a 3.018
_cell_length_b 5.210
_cell_length_c 4.935
_cell_angle_alpha 90.00
_cell_angle_beta 90.00
_cell_angle_gamma 90.00
_symmetry_space_group_name_H-M 'P m m 2'
_symmetry_Int_Tables_number 25
loop_
_symmetry_equiv_pos_as_xyz
'x,y,z'
'-x,-y,z'
'-x,y,z'
'x,-y,z'
loop_
_atom_site_label
_atom_site_type_symbol
_atom_site_fract_x
_atom_site_fract_y
_atom_site_fract_z
In1 In 0.000 0.000 0.000
In2 In 0.000 0.500 0.384
Ag1 Ag 0.500 0.000 0.509
Pt1 Pt 0.500 0.500 0.876
```

=====

No. 2
A geometry-optimized Nd2HoGa3 structure, computed with PBE.

D(E_F) (states/eV/atom): 0.41
Formation enthalpy at 0 K (eV/atom): -0.559
Uncorrected energy (eV/atom): -4.424
Total magnetic moment (μB/atom): 0.00
E above lowest polymorph (meV/atom): 0

Structure (CIF):
```
data_Nd2HoGa3
_cell_length_a 5.1546
_cell_length_b 5.1546
_cell_length_c 12.6905
_cell_angle_alpha 90.00
_cell_angle_beta 90.00
_cell_angle_gamma 120.00
_symmetry_space_group_name_H-M 'P -3 m 1'
_symmetry_Int_Tables_number 164
_symmetry_space_group_name_Hall '-P 3 2"'
loop_
_atom_site_label
_atom_site_type_symbol
_atom_site_fract_x
_atom_site_fract_y
_atom_site_fract_z
Nd1 Nd 0.0000 0.0000 0.0000
Nd2 Nd 0.0000 0.0000 0.5000
Nd3 Nd 0.3333 0.6667 0.1712
Ho1 Ho 0.3333 0.6667 0.6663
Ga1 Ga 0.0000 0.0000 0.2537
Ga2 Ga 0.3333 0.6667 0.4188
Ga3 Ga 0.3333 0.6667 0.9145
```

=====

No. 3
A geometry-optimized BaIn structure, computed with PBE.

D(E_F) (states/eV/atom): 1.13
Formation enthalpy at 0 K (eV/atom): -0.124
Uncorrected energy (eV/atom): -2.455
Total magnetic moment (μB/atom): 0.00

Structure (CIF):
```
data_BaIn
_cell_length_a 6.2266
_cell_length_b 6.2266
_cell_length_c 9.5897
_cell_angle_alpha 90.00
_cell_angle_beta 90.00
_cell_angle_gamma 120.00
_symmetry_space_group_name_H-M 'P 63/m m c'
_symmetry_Int_Tables_number 194
_symmetry_space_group_name_Hall '-P 6c 2c'
loop_
_atom_site_label
_atom_site_type_symbol
_atom_site_fract_x
_atom_site_fract_y
_atom_site_fract_z
Ba1 Ba 0.0000 0.0000 0.2500
Ba2 Ba 0.3333 0.6667 0.2500
In1 In 0.3333 0.6667 0.5997
```